Entry 1:
9
Lattice="-4.033 -1.657 -0.387 2.205 -6.407 4.458 -3.061 6.602 3.624" Properties=species:S:1:pos:R:3 comment="K2PmCl6 (GGA-PBE, relaxed)" spacegroup="Amm2 (38)" e_tot_ev_per_atom=-3.815 e_form_raw_ev_per_atom=-1.81 volume_a3_per_atom=27.792 magmom_total_mub_per_atom=0.1245 pbc="T T T"
K -1.306 2.267 3.894
K 0.446 -2.063 4.182
Pm -2.015 -0.834 -0.190
Cl -0.591 -4.971 2.689
Cl -2.321 -0.756 2.668
Cl -1.789 -2.969 6.602
Cl 0.526 -1.527 1.063
Cl -0.654 0.151 6.165
Cl 1.479 -4.840 5.315

Entry 2:
5
Lattice="-0.940 5.039 1.992 -0.264 -2.062 5.091 5.412 0.775 0.595" Properties=species:S:1:pos:R:3 comment="KPmCl3 (GGA-PBE, relaxed)" spacegroup="Pm-3m (221)" e_tot_ev_per_atom=-4.123 e_form_raw_ev_per_atom=-1.85 volume_a3_per_atom=33.260 magmom_total_mub_per_atom=0.0003 pbc="T T T"
K 2.104 1.876 3.839
Cl -0.132 -1.031 2.546
Cl 2.706 0.387 0.297
Cl -0.470 2.519 0.996
Pm 0.000 0.000 0.000

Entry 3:
24
Lattice="4.313 0.000 0.000 0.000 7.583 0.000 0.000 0.000 19.294" Properties=species:S:1:pos:R:3 comment="KPmCl4 (GGA-PBE, relaxed)" spacegroup="Pnma (62)" e_tot_ev_per_atom=-4.385 e_form_raw_ev_per_atom=-2.18 relative_energy_mev_per_atom=0.0 volume_a3_per_atom=26.293 magmom_total_mub_per_atom=0.0000 pbc="T T T"
K 3.235 5.961 15.320
K 1.078 1.621 3.974
K 1.078 5.413 5.673
K 3.235 2.170 13.621
Pm 3.235 1.889 8.476
Pm 1.078 5.694 10.819
Pm 1.078 1.902 18.123
Pm 3.235 5.680 1.172
Cl 3.235 6.886 12.271
Cl 1.078 0.696 7.023
Cl 1.078 4.487 2.624
Cl 3.235 3.095 16.671
Cl 3.235 6.504 8.958
Cl 1.078 1.079 10.336
Cl 1.078 4.870 18.605
Cl 3.235 2.712 0.689
Cl 3.235 7.512 18.085
Cl 1.078 0.071 1.210
Cl 1.078 3.862 8.437
Cl 3.235 3.720 10.857
Cl 3.235 6.872 3.772
Cl 1.078 0.711 15.523
Cl 1.078 4.502 13.419
Cl 3.235 3.081 5.875